(1)
4
Lattice="3.804 0.000 0.000 0.000 5.285 0.000 0.000 0.000 5.285" Properties=species:S:1:pos:R:3 comment="PBE Gd2TeBr, optimized geometry" formation_energy_uncorrected_ev_per_atom=-1.11 relative_energy_mev_per_atom=67 pbc="T T T"
Gd 0.000 0.000 2.643
Gd 0.000 2.643 0.000
Te 1.902 2.643 2.643
Br 1.902 0.000 0.000

---

(2)
5
Lattice="-0.393 -5.189 2.454 5.386 -0.980 -1.210 1.548 2.273 5.053" Properties=species:S:1:pos:R:3 comment="PBE NaSr2MgIr, optimized geometry" delta_e_f_ev_per_atom=0.1678 relative_energy_mev_per_atom=261 pbc="T T T"
Sr 0.774 1.137 2.527
Sr -0.196 -2.594 1.227
Mg 3.271 -1.948 3.149
Ir 0.000 0.000 0.000
Na 2.693 -0.490 -0.605

---

(3)
8
Lattice="-1.102 1.588 -4.809 1.213 -4.695 -1.829 -4.651 -3.004 -2.719" Properties=species:S:1:pos:R:3 comment="PBE BeP2Rh, optimized geometry" delta_e_f_ev_per_atom=-0.1639 pbc="T T T"
P -1.679 -0.377 -3.820
P -0.564 -3.456 -2.517
P -3.423 -3.510 -4.564
P -3.415 -4.880 -7.811
Rh 0.000 0.000 0.000
Rh -2.849 -1.485 -5.423
Be 0.056 -1.554 -3.319
Be -1.691 -4.627 -3.933

---

no.,total DFT energy (no corrections) (eV/atom)
1,-9.351
2,-2.860
3,-5.638